Material: MoRhIF2
Method: DFT, PBE+U
State: relaxed

Calculated values
Fermi-level density of states = 3.64 states/eV per cell
SG = No. 123
Magnetic moment = 2.81 μB per formula unit
Total DFT energy (no corrections) = -4.93 eV/atom

Lattice parameters (Å, degrees): 4.102 5.749 4.102 90.00 90.00 90.00
Each line ends with the local moment (μB).
Fractional coordinates of all 5 atoms:
1 Rh 0.000 0.500 0.000  -0.42
2 I 0.500 0.500 0.500  -0.04
3 Mo 0.000 0.000 0.000  2.99
4 F 0.000 0.000 0.500  0.01
5 F 0.500 0.000 0.000  0.07